Version a
CaInSe: optimized geometry, PBE-GGA.

abc: 4.0791 4.0791 6.1501
angles: 90.00 90.00 120.00
Element x y z (fractional)
Ca 0.0000 0.0000 0.0000
In 0.6667 0.3333 0.4083
Se 0.3333 0.6667 0.7381

Properties
Total moment: 0.000 μB/cell
SG: No. 156


Version b
CaInSe: optimized geometry, PBE-GGA.

abc: 9.0189 9.0189 9.0189
angles: 32.15 32.15 32.15
Element x y z (fractional)
Ca 0.1017 0.1017 0.1017
Ca 0.8983 0.8983 0.8983
In 0.3290 0.3290 0.3290
In 0.6710 0.6710 0.6710
Se 0.2181 0.2181 0.2181
Se 0.7819 0.7819 0.7819

Properties
Total moment: 0.000 μB/cell
SG: No. 166


Which structure is the most stable? The one labeled version b.


Version a
CaInSe: optimized geometry, PBE-GGA.

abc: 6.7262 6.7262 6.7262
angles: 145.21 145.21 50.02
Element x y z (fractional)
Ca 0.0000 0.0000 0.0000
In 0.2810 0.2810 0.0000
Se 0.5145 0.5145 0.0000

Properties
Total moment: 0.000 μB/cell
SG: No. 107


Version b
CaInSe: optimized geometry, PBE-GGA.

abc: 5.0803 5.0803 5.0803
angles: 60.00 60.00 60.00
Element x y z (fractional)
Ca 0.0000 0.0000 0.0000
In 0.5000 0.5000 0.5000
Se 0.2500 0.2500 0.2500

Properties
Total moment: 0.000 μB/cell
SG: No. 216


Version c
CaInSe: optimized geometry, PBE-GGA.

abc: 5.1064 5.1064 5.1064
angles: 60.00 60.00 60.00
Element x y z (fractional)
Ca 0.0000 0.0000 0.0000
In 0.7500 0.7500 0.7500
Se 0.2500 0.2500 0.2500

Properties
Total moment: 0.009 μB/cell
SG: No. 216


Which structure is the most stable? The one labeled version a.


Version a
Ca4InSi: optimized geometry, PBE-GGA.

abc: 8.3923 8.3923 6.0962
angles: 100.88 100.88 113.31
Element x y z (fractional)
Ca 0.0566 0.7123 0.9391
Ca 0.2196 0.3650 0.6493
Ca 0.2877 0.9434 0.5609
Ca 0.3650 0.2196 0.1493
Ca 0.6350 0.7804 0.8507
Ca 0.7123 0.0566 0.4391
Ca 0.7804 0.6350 0.3507
Ca 0.9434 0.2877 0.0609
In 0.3673 0.6327 0.2500
In 0.6327 0.3673 0.7500
Si 0.0022 0.9978 0.7500
Si 0.9978 0.0022 0.2500

Properties
Total moment: 0.000 μB/cell
SG: No. 15


Version b
Ca4InSi: optimized geometry, PBE-GGA.

abc: 6.4970 6.4970 6.4970
angles: 60.00 60.00 60.00
Element x y z (fractional)
Ca 0.1245 0.1245 0.1245
Ca 0.1245 0.1245 0.6264
Ca 0.1245 0.6264 0.1245
Ca 0.6264 0.1245 0.1245
In 0.5000 0.5000 0.5000
Si 0.7500 0.7500 0.7500

Properties
Total moment: 0.137 μB/cell
SG: No. 216


Which structure is the most stable? The one labeled version a.


Version a
CaIn3Si: optimized geometry, PBE-GGA.

abc: 5.7767 5.7767 5.7767
angles: 90.00 90.00 90.00
Element x y z (fractional)
Ca 0.0000 0.0000 0.0000
In 0.0000 0.0000 0.5000
In 0.0000 0.5000 0.0000
In 0.5000 0.0000 0.0000
Si 0.5000 0.5000 0.5000

Properties
Total moment: 0.000 μB/cell
SG: No. 221


Version b
CaIn3Si: optimized geometry, PBE-GGA.

abc: 5.3279 5.3279 5.3279
angles: 90.00 90.00 90.00
Element x y z (fractional)
Ca 0.0000 0.0000 0.0000
In 0.0000 0.5000 0.5000
In 0.5000 0.0000 0.5000
In 0.5000 0.5000 0.0000
Si 0.5000 0.5000 0.5000

Properties
Total moment: 0.000 μB/cell
SG: No. 221


Which structure is the most stable? The one labeled version b.


Version a
CaSm3In2: optimized geometry, PBE-GGA.

abc: 5.4887 9.5580 6.8864
angles: 90.00 90.00 90.00
Element x y z (fractional)
Ca 0.0000 0.0014 0.0000
Ca 0.0000 0.9986 0.5000
Sm 0.0000 0.3336 0.7479
Sm 0.0000 0.6664 0.2479
Sm 0.5000 0.1667 0.2513
Sm 0.5000 0.4988 0.9992
Sm 0.5000 0.5012 0.4992
Sm 0.5000 0.8333 0.7513
In 0.0000 0.3345 0.2490
In 0.0000 0.6655 0.7490
In 0.5000 0.1671 0.7502
In 0.5000 0.8329 0.2502

Properties
Total moment: 0.990 μB/cell
SG: No. 26


Version b
CaSm3In2: optimized geometry, PBE-GGA.

abc: 8.7077 8.7077 9.1658
angles: 114.31 114.31 36.90
Element x y z (fractional)
Ca 0.1368 0.1368 0.1950
Ca 0.8632 0.8632 0.8050
Sm 0.0600 0.0600 0.7150
Sm 0.3090 0.3090 0.0029
Sm 0.3830 0.3830 0.4632
Sm 0.6170 0.6170 0.5368
Sm 0.6910 0.6910 0.9971
Sm 0.9400 0.9400 0.2850
In 0.2277 0.2277 0.6045
In 0.4784 0.4784 0.8311
In 0.5216 0.5216 0.1689
In 0.7723 0.7723 0.3955

Properties
Total moment: 0.000 μB/cell
SG: No. 12


Which structure is the most stable? The one labeled version a.


Version a
CaIn4Sn: optimized geometry, PBE-GGA.

abc: 9.7009 9.7009 5.4574
angles: 90.00 90.00 140.88
Element x y z (fractional)
Ca 0.1234 0.8766 0.7500
Ca 0.8766 0.1234 0.2500
In 0.0407 0.4631 0.7500
In 0.2136 0.2999 0.7500
In 0.2999 0.2136 0.2500
In 0.4631 0.0407 0.2500
In 0.5369 0.9593 0.7500
In 0.7001 0.7864 0.7500
In 0.7864 0.7001 0.2500
In 0.9593 0.5369 0.2500
Sn 0.3843 0.6157 0.2500
Sn 0.6157 0.3843 0.7500

Properties
Total moment: 0.000 μB/cell
SG: No. 63


Version b
CaIn4Sn: optimized geometry, PBE-GGA.

abc: 6.1962 6.1962 6.1962
angles: 60.00 60.00 60.00
Element x y z (fractional)
Ca 0.0000 0.0000 0.0000
In 0.1252 0.6249 0.6249
In 0.6249 0.1252 0.6249
In 0.6249 0.6249 0.1252
In 0.6249 0.6249 0.6249
Sn 0.2500 0.2500 0.2500

Properties
Total moment: 0.000 μB/cell
SG: No. 216


Which structure is the most stable? The one labeled version a.


Version a
Ca2InSn: optimized geometry, PBE-GGA.

abc: 5.4543 5.4543 5.4543
angles: 60.00 60.00 60.00
Element x y z (fractional)
Ca 0.2500 0.2500 0.2500
Ca 0.7500 0.7500 0.7500
In 0.0000 0.0000 0.0000
Sn 0.5000 0.5000 0.5000

Properties
Total moment: 0.000 μB/cell
SG: No. 225


Version b
Ca2InSn: optimized geometry, PBE-GGA.

abc: 11.3318 11.3318 11.3318
angles: 154.49 154.49 36.39
Element x y z (fractional)
Ca 0.1209 0.6250 0.9959
Ca 0.3750 0.3709 0.4959
Ca 0.6291 0.1250 0.0041
Ca 0.8750 0.8791 0.5041
In 0.2500 0.7500 0.5000
In 0.5000 0.5000 0.0000
Sn 0.0000 0.0000 0.0000
Sn 0.7500 0.2500 0.5000

Properties
Total moment: 0.000 μB/cell
SG: No. 122


Version c
Ca2InSn: optimized geometry, PBE-GGA.

abc: 6.2885 4.5712 9.0825
angles: 90.00 108.22 90.00
Element x y z (fractional)
Ca 0.1999 0.2500 0.4281
Ca 0.2872 0.7500 0.0664
Ca 0.7128 0.2500 0.9336
Ca 0.8001 0.7500 0.5719
In 0.3790 0.7500 0.7088
In 0.6210 0.2500 0.2912
Sn 0.1359 0.2500 0.7894
Sn 0.8641 0.7500 0.2106

Properties
Total moment: 0.000 μB/cell
SG: No. 11


Which structure is the most stable? The one labeled version c.


Version a
CaInSn3: optimized geometry, PBE-GGA.

abc: 4.5178 8.5290 7.8109
angles: 90.00 90.28 90.00
Element x y z (fractional)
Ca 0.0013 0.2500 0.0559
Ca 0.9987 0.7500 0.9441
In 0.0062 0.2500 0.6308
In 0.9938 0.7500 0.3692
Sn 0.4951 0.7500 0.6171
Sn 0.4975 0.5442 0.1840
Sn 0.4975 0.9558 0.1840
Sn 0.5025 0.0442 0.8160
Sn 0.5025 0.4558 0.8160
Sn 0.5049 0.2500 0.3829

Properties
Total moment: 0.000 μB/cell
SG: No. 11


Version b
CaInSn3: optimized geometry, PBE-GGA.

abc: 5.6348 5.6348 5.6348
angles: 90.00 90.00 90.00
Element x y z (fractional)
Ca 0.0000 0.0000 0.0000
In 0.5000 0.5000 0.5000
Sn 0.0000 0.5000 0.5000
Sn 0.5000 0.0000 0.5000
Sn 0.5000 0.5000 0.0000

Properties
Total moment: 0.000 μB/cell
SG: No. 221


Version c
CaInSn3: optimized geometry, PBE-GGA.

abc: 5.7789 5.7789 5.7789
angles: 90.00 90.00 90.00
Element x y z (fractional)
Ca 0.0000 0.0000 0.0000
In 0.5000 0.5000 0.5000
Sn 0.0000 0.0000 0.5000
Sn 0.0000 0.5000 0.0000
Sn 0.5000 0.0000 0.0000

Properties
Total moment: 0.000 μB/cell
SG: No. 221


Which structure is the most stable? The one labeled version a.


Version a
Ca3In2Sn3: optimized geometry, PBE-GGA.

abc: 6.4876 6.4876 16.0272
angles: 90.00 90.00 136.51
Element x y z (fractional)
Ca 0.0598 0.9402 0.6139
Ca 0.0598 0.9402 0.8861
Ca 0.3298 0.6702 0.7500
Ca 0.6702 0.3298 0.2500
Ca 0.9402 0.0598 0.1139
Ca 0.9402 0.0598 0.3861
In 0.2405 0.7595 0.1047
In 0.2405 0.7595 0.3953
In 0.7595 0.2405 0.6047
In 0.7595 0.2405 0.8953
Sn 0.3855 0.6145 0.5470
Sn 0.3855 0.6145 0.9530
Sn 0.3949 0.6051 0.2500
Sn 0.6051 0.3949 0.7500
Sn 0.6145 0.3855 0.0470
Sn 0.6145 0.3855 0.4530

Properties
Total moment: 0.000 μB/cell
SG: No. 63


Version b
Ca3In2Sn3: optimized geometry, PBE-GGA.

abc: 6.3611 6.3611 15.6873
angles: 90.00 90.00 133.66
Element x y z (fractional)
Ca 0.0190 0.9810 0.7500
Ca 0.1428 0.8572 0.0280
Ca 0.1428 0.8572 0.4720
Ca 0.8572 0.1428 0.5280
Ca 0.8572 0.1428 0.9720
Ca 0.9810 0.0190 0.2500
In 0.3020 0.6980 0.6496
In 0.3020 0.6980 0.8504
In 0.6980 0.3020 0.1496
In 0.6980 0.3020 0.3504
Sn 0.2731 0.7269 0.2500
Sn 0.4472 0.5528 0.0968
Sn 0.4472 0.5528 0.4032
Sn 0.5528 0.4472 0.5968
Sn 0.5528 0.4472 0.9032
Sn 0.7269 0.2731 0.7500

Properties
Total moment: 0.000 μB/cell
SG: No. 63


Which structure is the most stable? The one labeled version a.


Version a
CaIn3Sn: optimized geometry, PBE-GGA.

abc: 6.4493 6.4493 6.4493
angles: 55.84 55.84 55.84
Element x y z (fractional)
Ca 0.0000 0.0000 0.0000
In 0.4999 0.9973 0.9973
In 0.9973 0.4999 0.9973
In 0.9973 0.9973 0.4999
Sn 0.6431 0.6431 0.6431

Properties
Total moment: 0.000 μB/cell
SG: No. 160


Version b
CaIn3Sn: optimized geometry, PBE-GGA.

abc: 5.0050 6.8466 8.5875
angles: 90.06 106.93 90.01
Element x y z (fractional)
Ca 0.0000 0.0000 0.0000
Ca 0.4287 0.5019 0.8589
In 0.1950 0.1215 0.3912
In 0.2337 0.6221 0.4676
In 0.6122 0.3043 0.2248
In 0.6230 0.8403 0.2451
In 0.8062 0.3364 0.6147
In 0.8164 0.8042 0.6337
Sn 0.0555 0.5474 0.1109
Sn 0.3729 0.0480 0.7474

Properties
Total moment: 0.000 μB/cell
SG: No. 1


Which structure is the most stable? The one labeled version b.


Version a
CaIn3Sn: optimized geometry, PBE-GGA.

abc: 5.7059 5.7059 5.7059
angles: 90.00 90.00 90.00
Element x y z (fractional)
Ca 0.0000 0.0000 0.0000
In 0.0000 0.5000 0.5000
In 0.5000 0.0000 0.5000
In 0.5000 0.5000 0.0000
Sn 0.5000 0.5000 0.5000

Properties
Total moment: 0.000 μB/cell
SG: No. 221


Version b
CaIn3Sn: optimized geometry, PBE-GGA.

abc: 5.7933 5.7933 5.7933
angles: 90.00 90.00 90.00
Element x y z (fractional)
Ca 0.0000 0.0000 0.0000
In 0.0000 0.0000 0.5000
In 0.0000 0.5000 0.0000
In 0.5000 0.0000 0.0000
Sn 0.5000 0.5000 0.5000

Properties
Total moment: 0.000 μB/cell
SG: No. 221


Which structure is the most stable? The one labeled version a.